[1]
ZnInAu2: PBEsol geometry, SCAN.

Cell lengths 3.5473, 4.4861, 4.9438 Å; angles 104.62, 111.02, 90.00 degrees
With the nearest neighbours (Å) after each atom.
Fractional coordinates of all 4 atoms:
Zn 0.2574 0.8032 0.5149  7 Au 2.71-2.97, 3 In 2.99-3.02
Au 0.9922 0.9555 0.9845  3 Zn 2.71-2.74, 4 In 2.82-2.90, 3 Au 2.94-3.01
Au 0.7516 0.2699 0.5031  3 In 2.72-2.84, 4 Zn 2.76-2.97, 3 Au 2.94-3.01
In 0.4988 0.4715 0.9975  7 Au 2.72-2.90, 3 Zn 2.99-3.02

Computed properties:
- N(E_F): 0.255 states/eV/atom
- Formation energy from the elements: -0.185 eV per atom



[2]
NaIn10CuS16: PBEsol geometry, SCAN.

Cell lengths 7.5920, 7.5920, 10.9156 Å; angles 90.00, 90.00, 90.00 degrees
With the nearest neighbours (Å) after each atom.
Fractional coordinates of all 28 atoms:
Na 0.5000 0.5000 0.5000  4 S 2.59
In 0.0000 0.7448 0.6420  6 S 2.55-2.78
In 0.5000 0.2312 0.1223  6 S 2.54-2.69
In 0.7448 0.0000 0.3580  6 S 2.55-2.78
In 0.2312 0.5000 0.8777  6 S 2.54-2.69
In 0.2552 0.0000 0.3580  6 S 2.55-2.78
In 0.7688 0.5000 0.8777  6 S 2.54-2.69
In 0.0000 0.2552 0.6420  6 S 2.55-2.78
In 0.5000 0.7688 0.1223  6 S 2.54-2.69
In 0.0000 0.5000 0.2488  4 S 2.51-2.52
In 0.5000 0.0000 0.7512  4 S 2.51-2.52
Cu 0.0000 0.0000 0.0000  4 S 2.30
S 0.0000 0.2350 0.3877  4 In 2.52-2.78
S 0.5000 0.7304 0.8835  4 In 2.51-2.69
S 0.2350 0.0000 0.6123  4 In 2.52-2.78
S 0.7304 0.5000 0.1165  4 In 2.51-2.69
S 0.7650 0.0000 0.6123  4 In 2.52-2.78
S 0.2696 0.5000 0.1165  4 In 2.51-2.69
S 0.0000 0.7650 0.3877  4 In 2.52-2.78
S 0.5000 0.2696 0.8835  4 In 2.51-2.69
S 0.0000 0.2477 0.8793  1 Cu 2.30
S 0.5000 0.7699 0.3552  3 In 2.54-2.55, 1 Na 2.59
S 0.7699 0.5000 0.6448  3 In 2.54-2.55, 1 Na 2.59
S 0.2477 0.0000 0.1207  1 Cu 2.30
S 0.2301 0.5000 0.6448  3 In 2.54-2.55, 1 Na 2.59
S 0.7523 0.0000 0.1207  1 Cu 2.30
S 0.0000 0.7523 0.8793  1 Cu 2.30
S 0.5000 0.2301 0.3552  3 In 2.54-2.55, 1 Na 2.59

Computed properties:
- N(E_F): 0.141 states/eV/atom
- Raw formation energy: -0.726 eV/atom



[3]
Al2HI: PBEsol geometry, SCAN.

Cell lengths 5.3467, 5.3467, 7.0443 Å; angles 112.30, 112.30, 90.00 degrees
With the nearest neighbours (Å) after each atom.
Fractional coordinates of all 8 atoms:
I 0.2500 0.7500 0.5000  4 Al 3.12
I 0.0000 0.0000 0.0000  4 Al 3.12
H 0.7500 0.2500 0.5000  4 Al 2.02
H 0.5000 0.5000 0.0000  4 Al 2.02
Al 0.5743 0.8750 0.2500  2 H 2.02
Al 0.6757 0.3750 0.2500  2 H 2.02
Al 0.1250 0.3243 0.7500  2 H 2.02
Al 0.6250 0.4257 0.7500  2 H 2.02

Computed properties:
- N(E_F): 0.357 states/eV/atom
- E: -107.64 eV/cell



[4]
KCrPb2: PBEsol geometry, SCAN.

Cell lengths 3.4878, 3.4878, 10.3537 Å; angles 80.30, 80.30, 60.00 degrees
With the nearest neighbours (Å) after each atom.
Fractional coordinates of all 4 atoms:
Cr 0.5000 0.5000 0.5000  6 Pb 2.93
K 0.0000 0.0000 0.0000  6 K 3.49, 6 Pb 3.57
Pb 0.2367 0.2367 0.2898  3 Cr 2.93
Pb 0.7633 0.7633 0.7102  3 Cr 2.93

Computed properties:
- N(E_F): 0.722 states/eV/atom
- Formation energy from the elements: 0.120 eV per atom



[5]
KLiP: PBEsol geometry, SCAN.

Cell lengths 4.9721, 4.9721, 4.9721 Å; angles 60.00, 60.00, 60.00 degrees
With the nearest neighbours (Å) after each atom.
Fractional coordinates of all 3 atoms:
P 0.5000 0.5000 0.5000  4 K 3.04
K 0.2500 0.2500 0.2500  4 P 3.04, 4 Li 3.04
Li 0.0000 0.0000 0.0000  4 K 3.04

Computed properties:
- N(E_F): 1.090 states/eV/atom
- Formation energy from the elements: 0.331 eV per atom



[6]
Cs2InAgCl6: PBEsol geometry, SCAN.

Cell lengths 7.3303, 7.3303, 7.3303 Å; angles 60.00, 60.00, 60.00 degrees
With the nearest neighbours (Å) after each atom.
Fractional coordinates of all 10 atoms:
Cs 0.7500 0.7500 0.7500  12 Cl 3.67
Cs 0.2500 0.2500 0.2500  12 Cl 3.67
In 0.0000 0.0000 0.0000  6 Cl 2.53
Ag 0.5000 0.5000 0.5000  6 Cl 2.65
Cl 0.7560 0.2440 0.2440  1 In 2.53, 1 Ag 2.65
Cl 0.7560 0.7560 0.2440  1 In 2.53, 1 Ag 2.65
Cl 0.2440 0.7560 0.7560  1 In 2.53, 1 Ag 2.65
Cl 0.7560 0.2440 0.7560  1 In 2.53, 1 Ag 2.65
Cl 0.2440 0.7560 0.2440  1 In 2.53, 1 Ag 2.65
Cl 0.2440 0.2440 0.7560  1 In 2.53, 1 Ag 2.65

Computed properties:
- Raw formation energy: -1.592 eV/atom



[7]
CrAu2Cl: PBEsol geometry, SCAN.

Cell lengths 3.1298, 3.1298, 8.7068 Å; angles 79.65, 79.65, 60.00 degrees
With the nearest neighbours (Å) after each atom.
Fractional coordinates of all 4 atoms:
Cr 0.2486 0.2486 0.2541  3 Cl 2.35, 3 Au 2.60
Au 0.9884 0.9884 0.0347  3 Cr 2.60, 3 Au 2.82
Au 0.7396 0.7396 0.7811  9 Au 2.82-3.13
Cl 0.5233 0.5233 0.4301  3 Cr 2.35

Computed properties:
- N(E_F): 0.450 states/eV/atom
- Energy above the most stable polymorph in this dataset: 0 meV per atom
- Raw formation energy: -0.281 eV/atom



[8]
InGaSb2: PBEsol geometry, SCAN.

Cell lengths 6.3190, 6.3190, 7.7106 Å; angles 114.19, 114.19, 90.00 degrees
With the nearest neighbours (Å) after each atom.
Fractional coordinates of all 8 atoms:
Sb 0.8527 0.3750 0.2500  2 Ga 2.65, 2 In 2.81
Sb 0.3973 0.8750 0.2500  2 Ga 2.65, 2 In 2.81
Sb 0.6250 0.6027 0.7500  2 Ga 2.65, 2 In 2.81
Sb 0.1250 0.1473 0.7500  2 Ga 2.65, 2 In 2.81
Ga 0.7500 0.2500 0.5000  4 Sb 2.65
Ga 0.5000 0.5000 0.0000  4 Sb 2.65
In 0.2500 0.7500 0.5000  4 Sb 2.81
In 0.0000 0.0000 0.0000  4 Sb 2.81

Computed properties:
- N(E_F): 0.037 states/eV/atom
- Energy above the most stable polymorph in this dataset: 0 meV per atom
- Raw formation energy: -0.157 eV/atom



[9]
Si2RhSe: PBEsol geometry, SCAN.

Cell lengths 2.7609, 3.3039, 6.9891 Å; angles 90.00, 90.00, 90.00 degrees
With the nearest neighbours (Å) after each atom.
Fractional coordinates of all 4 atoms:
Rh 0.0000 0.0000 0.4471  5 Si 2.46-2.65
Se 0.5000 0.5000 0.7069  2 Se 2.76, 4 Rh 2.82, 1 Si 3.00
Si 0.0000 0.0000 0.0677  6 Si 2.61-2.76, 1 Rh 2.65
Si 0.5000 0.5000 0.2782  4 Rh 2.46, 4 Si 2.61

Computed properties:
- N(E_F): 0.540 states/eV/atom
- Raw formation energy: 0.097 eV/atom



[10]
LiSb2As: PBEsol geometry, SCAN.

Cell lengths 3.0567, 3.9177, 7.5038 Å; angles 90.00, 90.00, 90.00 degrees
With the nearest neighbours (Å) after each atom.
Fractional coordinates of all 4 atoms:
Sb 0.0000 0.0000 0.0418  4 Sb 3.06-3.09, 1 As 3.07, 4 Li 3.08
Sb 0.0000 0.5000 0.7237  2 As 2.84, 4 Sb 3.06-3.09
As 0.0000 0.0000 0.4506  4 Li 2.78, 3 Sb 2.84-3.07, 2 As 3.06
Li 0.5000 0.5000 0.2840  4 As 2.78, 2 Li 3.06, 4 Sb 3.08

Computed properties:
- N(E_F): 0.296 states/eV/atom
- Raw formation energy: -0.156 eV/atom



[11]
ScZn: PBEsol geometry, SCAN.

Cell lengths 4.2953, 5.5909, 6.1521 Å; angles 90.00, 90.00, 90.00 degrees
With the nearest neighbours (Å) after each atom.
Fractional coordinates of all 8 atoms:
Sc 0.2500 0.1325 0.1598  7 Zn 2.79-2.88
Sc 0.7500 0.6325 0.3402  7 Zn 2.79-2.88
Sc 0.2500 0.3675 0.6598  7 Zn 2.79-2.88
Sc 0.7500 0.8675 0.8402  7 Zn 2.79-2.88
Zn 0.2500 0.6331 0.0516  2 Zn 2.69, 7 Sc 2.79-2.88
Zn 0.7500 0.1331 0.4484  2 Zn 2.69, 7 Sc 2.79-2.88
Zn 0.2500 0.8669 0.5516  2 Zn 2.69, 7 Sc 2.79-2.88
Zn 0.7500 0.3669 0.9484  2 Zn 2.69, 7 Sc 2.79-2.88

Computed properties:
- N(E_F): 0.792 states/eV/atom
- Formation energy from the elements: -0.406 eV per atom



[12]
ReMoCl: PBEsol geometry, SCAN.

Cell lengths 2.9024, 4.1487, 4.1487 Å; angles 120.00, 90.00, 90.00 degrees
With the nearest neighbours (Å) after each atom.
Fractional coordinates of all 3 atoms:
Re 0.2350 0.3333 0.6667  3 Cl 2.49, 3 Mo 2.76
Mo 0.7660 0.6667 0.3333  3 Cl 2.49, 3 Re 2.76
Cl 0.9990 0.0000 0.0000  3 Mo 2.49, 3 Re 2.49

Computed properties:
- N(E_F): 0.402 states/eV/atom
- Energy above the most stable polymorph in this dataset: 231 meV per atom
- Raw formation energy: 0.702 eV/atom